(1)
Entry from Alexandria via LeMat-Bulk: crystalline BaAg8S5 at its relaxed geometry (PBE).

Output
Formation energy from raw total energies ... -0.34 eV per atom
Raw total energy ... -200.515 eV/cell
Magnetization ... 0.00 μB per cell

Lattice parameters (Å, degrees): 7.8935 17.5630 9.0786 90.00 108.31 90.00
Last column: nearest neighbours and their distance in Å.
Sites, in units of the cell vectors:
Ba 0.0702 0.2500 0.2485  8 S 3.18-3.46
Ba 0.1076 0.2500 0.7890  8 S 3.23-3.42
Ba 0.8924 0.7500 0.2110  8 S 3.23-3.42
Ba 0.9298 0.7500 0.7515  8 S 3.18-3.46
Ag 0.0000 0.0000 0.0000  2 S 2.55
Ag 0.0000 0.5000 0.0000  2 S 2.55
Ag 0.1298 0.5490 0.3518  2 S 2.48-2.53
Ag 0.1298 0.9510 0.3518  2 S 2.48-2.53
Ag 0.1858 0.5487 0.7123  2 S 2.44-2.46
Ag 0.1858 0.9513 0.7123  2 S 2.44-2.46
Ag 0.2484 0.0986 0.5759  3 S 2.56-2.77
Ag 0.2484 0.4014 0.5759  3 S 2.56-2.77
Ag 0.3782 0.6625 0.2797  2 S 2.47-2.48
Ag 0.3782 0.8375 0.2797  2 S 2.47-2.48
Ag 0.3887 0.6610 0.9576  2 S 2.47-2.49
Ag 0.3887 0.8390 0.9576  2 S 2.47-2.49
Ag 0.4370 0.5052 0.1459  3 S 2.54-2.83
Ag 0.4370 0.9948 0.1459  3 S 2.54-2.83
Ag 0.4386 0.6612 0.6286  3 S 2.56-2.69
Ag 0.4386 0.8388 0.6286  3 S 2.56-2.69
Ag 0.5000 0.0000 0.5000  2 S 2.49
Ag 0.5000 0.5000 0.5000  2 S 2.49
Ag 0.5614 0.1612 0.3714  3 S 2.56-2.69
Ag 0.5614 0.3388 0.3714  3 S 2.56-2.69
Ag 0.5629 0.0052 0.8541  3 S 2.54-2.83
Ag 0.5629 0.4948 0.8541  3 S 2.54-2.83
Ag 0.6113 0.1610 0.0424  2 S 2.47-2.49
Ag 0.6113 0.3390 0.0424  2 S 2.47-2.49
Ag 0.6218 0.1625 0.7203  2 S 2.47-2.48
Ag 0.6218 0.3375 0.7203  2 S 2.47-2.48
Ag 0.7516 0.5986 0.4241  3 S 2.56-2.77
Ag 0.7516 0.9014 0.4241  3 S 2.56-2.77
Ag 0.8142 0.0487 0.2877  2 S 2.44-2.46
Ag 0.8142 0.4513 0.2877  2 S 2.44-2.46
Ag 0.8702 0.0490 0.6482  2 S 2.48-2.53
Ag 0.8702 0.4510 0.6482  2 S 2.48-2.53
S 0.0982 0.6532 0.5263  3 Ag 2.44-2.56
S 0.0982 0.8468 0.5263  3 Ag 2.44-2.56
S 0.1238 0.6354 0.0438  3 Ag 2.48-2.55
S 0.1238 0.8646 0.0438  3 Ag 2.48-2.55
S 0.2708 0.0726 0.2975  5 Ag 2.49-2.68
S 0.2708 0.4274 0.2975  5 Ag 2.49-2.68
S 0.2772 0.0699 0.8597  3 Ag 2.46-2.56
S 0.2772 0.4301 0.8597  3 Ag 2.46-2.56
S 0.3857 0.2500 0.5692  2 Ag 2.47
S 0.4142 0.2500 0.1228  4 Ag 2.47-2.69
S 0.5858 0.7500 0.8772  4 Ag 2.47-2.69
S 0.6143 0.7500 0.4308  2 Ag 2.47
S 0.7228 0.5699 0.1403  3 Ag 2.46-2.56
S 0.7228 0.9301 0.1403  3 Ag 2.46-2.56
S 0.7292 0.5726 0.7025  5 Ag 2.49-2.68
S 0.7292 0.9274 0.7025  5 Ag 2.49-2.68
S 0.8762 0.1354 0.9562  3 Ag 2.48-2.55
S 0.8762 0.3646 0.9562  3 Ag 2.48-2.55
S 0.9018 0.1532 0.4737  3 Ag 2.44-2.56
S 0.9018 0.3468 0.4737  3 Ag 2.44-2.56


(2)
Entry from Alexandria via LeMat-Bulk: crystalline GaCoSN2 at its relaxed geometry (PBE).

Output
Formation energy from raw total energies ... 0.80 eV per atom
Raw total energy ... -26.887 eV/cell
E above lowest polymorph ... 0.0 kJ per mole of atoms
Magnetization ... 0.33 μB per cell
Fermi-level density of states ... 2.808 states/eV per cell

Lattice parameters (Å, degrees): 3.4896 3.4896 6.9554 90.00 90.00 90.00
Last column: nearest neighbours and their distance in Å.
Sites, in units of the cell vectors:
Ga 0.0000 0.0000 0.0000  4 S 2.47
Co 0.5000 0.5000 0.5000  4 N 1.74
S 0.5000 0.5000 0.0000  4 Ga 2.47
N 0.0000 0.5000 0.5000  2 Co 1.74
N 0.5000 0.0000 0.5000  2 Co 1.74


(3)
Entry from Alexandria via LeMat-Bulk: crystalline U2FeIr at its relaxed geometry (PBE).

Output
E_form ... 116 kJ/mol of formula units
Raw total energy ... -38.700 eV/cell
Magnetization ... 1.54 μB per cell
Fermi-level density of states ... 8.101 states/eV per cell

Lattice parameters (Å, degrees): 9.7573 9.7573 9.7573 17.21 17.21 17.21
Last column: nearest neighbours and their distance in Å.
Sites, in units of the cell vectors:
U 0.0917 0.0917 0.0917  1 Ir 2.64, 3 Fe 2.74, 6 U 2.92
U 0.9083 0.9083 0.9083  1 Ir 2.64, 3 Fe 2.74, 6 U 2.92
Fe 0.5000 0.5000 0.5000  6 U 2.74, 6 Fe 2.92
Ir 0.0000 0.0000 0.0000  2 U 2.64, 6 Ir 2.92


(4)
Entry from Alexandria via LeMat-Bulk: crystalline Ca2DyZn9 at its relaxed geometry (PBE).

Output
E_form ... -302 kJ/mol of formula units
Raw total energy ... -23.197 eV/cell
Magnetization ... 0.00 μB per cell
Fermi-level density of states ... 7.318 states/eV per cell

Lattice parameters (Å, degrees): 9.1802 9.1802 9.1802 34.69 34.69 34.69
Last column: nearest neighbours and their distance in Å.
Sites, in units of the cell vectors:
Ca 0.1420 0.1420 0.1420  12 Zn 3.16-3.24, 3 Ca 3.41
Ca 0.8580 0.8580 0.8580  12 Zn 3.16-3.24, 3 Ca 3.41
Dy 0.0000 0.0000 0.0000  18 Zn 3.16-3.45
Zn 0.0756 0.5840 0.5840  7 Zn 2.61-2.78
Zn 0.3349 0.3349 0.3349  6 Zn 2.61-2.64
Zn 0.4160 0.4160 0.9244  7 Zn 2.61-2.78
Zn 0.4160 0.9244 0.4160  7 Zn 2.61-2.78
Zn 0.5000 0.5000 0.5000  6 Zn 2.73
Zn 0.5840 0.0756 0.5840  7 Zn 2.61-2.78
Zn 0.5840 0.5840 0.0756  7 Zn 2.61-2.78
Zn 0.6651 0.6651 0.6651  6 Zn 2.61-2.64
Zn 0.9244 0.4160 0.4160  7 Zn 2.61-2.78


(5)
Entry from Alexandria via LeMat-Bulk: crystalline Nd2Y7Ho at its relaxed geometry (PBE).

Output
E_form ... 19 kJ/mol of formula units
Raw total energy ... -59.168 eV/cell
E above lowest polymorph ... 0.0 kJ per mole of atoms
Magnetization ... 0.00 μB per cell
Fermi-level density of states ... 14.475 states/eV per cell

Lattice parameters (Å, degrees): 6.2075 7.1838 8.0113 103.00 97.26 106.74
Last column: nearest neighbours and their distance in Å.
Sites, in units of the cell vectors:
Nd 0.1015 0.2007 0.1991  10 Y 3.57-3.60, 1 Ho 3.57, 1 Nd 3.58
Nd 0.8985 0.7993 0.8009  10 Y 3.57-3.60, 1 Ho 3.57, 1 Nd 3.58
Y 0.1001 0.6998 0.1994  2 Ho 3.58-3.59, 3 Nd 3.58-3.60, 7 Y 3.58-3.59
Y 0.2999 0.1007 0.6002  9 Y 3.58-3.60, 1 Ho 3.58, 2 Nd 3.59-3.60
Y 0.3001 0.5997 0.5999  8 Y 3.58-3.60, 3 Nd 3.58-3.59, 1 Ho 3.59
Y 0.5000 0.0000 0.0000  4 Nd 3.57-3.59, 6 Y 3.58-3.59, 2 Ho 3.59
Y 0.6999 0.4003 0.4001  8 Y 3.58-3.60, 3 Nd 3.58-3.59, 1 Ho 3.59
Y 0.7001 0.8993 0.3998  9 Y 3.58-3.60, 1 Ho 3.58, 2 Nd 3.59-3.60
Y 0.8999 0.3002 0.8006  2 Ho 3.58-3.59, 3 Nd 3.58-3.60, 7 Y 3.58-3.59
Ho 0.5000 0.5000 0.0000  2 Nd 3.57, 10 Y 3.58-3.59


(6)
Entry from Alexandria via LeMat-Bulk: crystalline CdSb2Se at its relaxed geometry (PBE).

Output
Formation energy from raw total energies ... -0.15 eV per atom
Raw total energy ... -13.234 eV/cell
E above lowest polymorph ... 1.2 kJ per mole of atoms
Magnetization ... 0.00 μB per cell
Fermi-level density of states ... 1.474 states/eV per cell

Lattice parameters (Å, degrees): 4.3237 4.3237 5.9372 90.00 90.00 90.00
Last column: nearest neighbours and their distance in Å.
Sites, in units of the cell vectors:
Cd 0.0000 0.0000 0.0000  2 Sb 2.92-3.02, 4 Se 3.06
Sb 0.0000 0.0000 0.5079  2 Cd 2.92-3.02, 4 Sb 3.06
Sb 0.5000 0.5000 0.4744  1 Se 2.64
Se 0.5000 0.5000 0.0293  1 Sb 2.64


(7)
Entry from Alexandria via LeMat-Bulk: crystalline ZrGe2Mo2 at its relaxed geometry (PBE).

Output
E_form ... -114 kJ/mol of formula units
Raw total energy ... -81.260 eV/cell
Magnetization ... 0.00 μB per cell
Fermi-level density of states ... 6.121 states/eV per cell

Lattice parameters (Å, degrees): 7.2075 7.2075 3.2326 90.00 90.00 90.00
Last column: nearest neighbours and their distance in Å.
Sites, in units of the cell vectors:
Zr 0.0000 0.0000 0.0000  4 Ge 2.77
Zr 0.5000 0.5000 0.0000  4 Ge 2.77
Ge 0.1425 0.3575 0.0000  6 Mo 2.65-2.67, 2 Zr 2.77, 1 Ge 2.91
Ge 0.3575 0.8575 0.0000  6 Mo 2.65-2.67, 2 Zr 2.77, 1 Ge 2.91
Ge 0.6425 0.1425 0.0000  6 Mo 2.65-2.67, 2 Zr 2.77, 1 Ge 2.91
Ge 0.8575 0.6425 0.0000  6 Mo 2.65-2.67, 2 Zr 2.77, 1 Ge 2.91
Mo 0.1488 0.6488 0.5000  6 Ge 2.65-2.67
Mo 0.3512 0.1488 0.5000  6 Ge 2.65-2.67
Mo 0.6488 0.8512 0.5000  6 Ge 2.65-2.67
Mo 0.8512 0.3512 0.5000  6 Ge 2.65-2.67


(8)
Entry from Alexandria via LeMat-Bulk: crystalline K2HAu at its relaxed geometry (PBE).

Output
Raw total energy ... -9.323 eV/cell
E above lowest polymorph ... 10.1 kJ per mole of atoms
Magnetization ... 0.00 μB per cell
Fermi-level density of states ... 0.000 states/eV per cell

Lattice parameters (Å, degrees): 5.4334 5.4334 5.4334 60.00 60.00 60.00
Last column: nearest neighbours and their distance in Å.
Sites, in units of the cell vectors:
K 0.2500 0.2500 0.2500  4 Au 3.33, 4 H 3.33
K 0.7500 0.7500 0.7500  4 Au 3.33, 4 H 3.33
H 0.0000 0.0000 0.0000  8 K 3.33
Au 0.5000 0.5000 0.5000  8 K 3.33


(9)
Entry from Alexandria via LeMat-Bulk: crystalline Sc2Si4Ir3Ru at its relaxed geometry (PBE).

Output
Formation energy from raw total energies ... -0.91 eV per atom
Raw total energy ... -79.350 eV/cell
Magnetization ... 0.00 μB per cell
Fermi-level density of states ... 4.894 states/eV per cell

Lattice parameters (Å, degrees): 4.1019 4.1019 9.5641 90.00 90.00 90.00
Last column: nearest neighbours and their distance in Å.
Sites, in units of the cell vectors:
Sc 0.0000 0.5000 0.2505  6 Ir 3.12-3.15, 8 Si 3.13-3.15, 2 Ru 3.15
Sc 0.5000 0.0000 0.7495  6 Ir 3.12-3.15, 8 Si 3.13-3.15, 2 Ru 3.15
Si 0.0000 0.0000 0.0000  4 Ir 2.40
Si 0.0000 0.5000 0.6266  3 Ir 2.33-2.38, 2 Ru 2.38
Si 0.5000 0.0000 0.3734  3 Ir 2.33-2.38, 2 Ru 2.38
Si 0.5000 0.5000 0.0000  4 Ir 2.40
Ir 0.0000 0.5000 0.8700  5 Si 2.33-2.40
Ir 0.5000 0.0000 0.1300  5 Si 2.33-2.40
Ir 0.5000 0.5000 0.5000  4 Si 2.38
Ru 0.0000 0.0000 0.5000  4 Si 2.38


(10)
Entry from Alexandria via LeMat-Bulk: crystalline Ag2TeI at its relaxed geometry (PBE).

Output
Formation energy from raw total energies ... -0.03 eV per atom
Raw total energy ... -10.524 eV/cell
E above lowest polymorph ... 9.3 kJ per mole of atoms
Magnetization ... 0.00 μB per cell
Fermi-level density of states ... 2.559 states/eV per cell

Lattice parameters (Å, degrees): 4.2404 4.2404 7.2346 96.94 96.94 113.83
Last column: nearest neighbours and their distance in Å.
Sites, in units of the cell vectors:
Ag 0.0660 0.0660 0.2109  3 Te 2.88-2.98, 2 I 2.92-3.02, 1 Ag 2.98
Ag 0.9340 0.9340 0.7891  3 Te 2.88-2.98, 2 I 2.92-3.02, 1 Ag 2.98
Te 0.6528 0.3472 0.0000  6 Ag 2.88-2.98
I 0.2741 0.7259 0.5000  4 Ag 2.92-3.02


(11)
Entry from Alexandria via LeMat-Bulk: crystalline MgTcAu at its relaxed geometry (PBE).

Output
E_form ... 28 kJ/mol of formula units
Raw total energy ... -14.945 eV/cell
E above lowest polymorph ... 0.0 kJ per mole of atoms
Magnetization ... 0.00 μB per cell
Fermi-level density of states ... 2.088 states/eV per cell

Lattice parameters (Å, degrees): 6.7296 6.7296 6.7296 156.21 156.21 33.89
Last column: nearest neighbours and their distance in Å.
Sites, in units of the cell vectors:
Mg 0.0000 0.0000 0.0000  4 Mg 2.77, 4 Tc 2.88, 4 Au 2.93
Tc 0.3359 0.3359 0.0000  4 Tc 2.77, 4 Mg 2.88, 4 Au 2.90
Au 0.6695 0.6695 0.0000  4 Au 2.77, 4 Tc 2.90, 4 Mg 2.93


(12)
Entry from Alexandria via LeMat-Bulk: crystalline CdHSN2 at its relaxed geometry (PBE).

Output
Raw total energy ... -15.453 eV/cell
E above lowest polymorph ... 0.0 kJ per mole of atoms
Magnetization ... 2.33 μB per cell
Fermi-level density of states ... 0.743 states/eV per cell

Lattice parameters (Å, degrees): 3.4675 3.4675 5.7119 90.00 90.00 90.00
Last column: nearest neighbours and their distance in Å.
Sites, in units of the cell vectors:
Cd 0.0000 0.0000 0.0000  4 S 2.45
H 0.5000 0.5000 0.5000  4 N 1.73
S 0.5000 0.5000 0.0000  4 Cd 2.45
N 0.0000 0.5000 0.5000  2 H 1.73
N 0.5000 0.0000 0.5000  2 H 1.73


Which formula does entry 2 have? GaCoSN2


Which of these has the lowest raw total energy? BaAg8S5


Which value of raw total energy does entry 4 give? -23.197 eV/cell